Record 1
# La2TbCeTe5

An optimized crystal structure of La2TbCeTe5 (GGA-PBE, Alexandria via LeMat-Bulk).

```
La2TbCeTe5
1.0
5.5438 0.0000 0.0000
0.0000 5.5438 0.0000
0.0000 0.0000 11.9082
La Tb Ce Te
2 1 1 5
Direct
0.0000 0.0000 0.1660
0.0000 0.0000 0.8340
0.5000 0.5000 0.0000
0.5000 0.5000 0.5000
0.0000 0.0000 0.5000
0.0000 0.5000 0.0000
0.5000 0.0000 0.0000
0.5000 0.5000 0.2495
0.5000 0.5000 0.7505
```

Computed properties:
Total magnetic moment   2.65 Bohr magnetons per cell
Density of states at the Fermi level   12.2 states/eV/f.u.
ΔE_f (raw)   -967 meV per atom

=====

Record 2
# ZnSiPb2

An optimized crystal structure of ZnSiPb2 (GGA-PBE, Alexandria via LeMat-Bulk).

```
ZnSiPb2
1.0
-2.2010 2.2010 5.0551
2.2010 -2.2010 5.0551
2.2010 2.2010 -5.0551
Zn Si Pb
1 1 2
Direct
0.0000 0.0000 0.0000
0.7500 0.2500 0.5000
0.2500 0.7500 0.5000
0.5000 0.5000 0.0000
```

Computed properties:
Total magnetic moment   0.00 Bohr magnetons per cell
Density of states at the Fermi level   2.3 states/eV/f.u.
ΔE to the lowest computed polymorph   0.168 eV/atom
ΔE_f (raw)   395 meV per atom